# 1
PrDy2As | PBE | relaxed

It has space group R-3m (No. 166, hexagonal axes), with a = 3.8749 Å, b = 3.8749 Å, c = 28.5319 Å, α = 90.00°, β = 90.00° and γ = 120.00°. Symmetry generates all atoms from Pr at (0.0000, 0.0000, 0.0000), Dy at (0.0000, 0.0000, 0.2272) and As at (0.0000, 0.0000, 0.5000).

The total moment is 0.00 μB per cell. The energy of formation comes out at -0.631 eV/atom.

# 2
InRe2Sb | PBE | relaxed

It has space group Fm-3m (No. 225), with a = 6.540 Å, b = 6.540 Å, c = 6.540 Å, α = 90.00°, β = 90.00° and γ = 90.00°. Symmetry generates all atoms from In at (0.000, 0.000, 0.000), Re at (0.250, 0.250, 0.250) and Sb at (0.000, 0.000, 0.500).

The total moment is 0.00 μB per cell. The value obtained for the formation energy without anion corrections is 723 meV/atom.

# 3
YFeSe4 | PBE | relaxed

It has space group F-43m (No. 216), with a = 8.063 Å, b = 8.063 Å, c = 8.063 Å, α = 90.00°, β = 90.00° and γ = 90.00°. Symmetry generates all atoms from Y at (0.000, 0.000, 0.000), Fe at (0.250, 0.250, 0.750) and Se at (0.124, 0.124, 0.376).

The total moment is 12.62 μB per cell. The value obtained for the formation energy without anion corrections is 334 meV/atom.

Number 1: DFT total energy -0.3887 Ry/atom. Number 2: DFT total energy -0.5304 Ry/atom. Number 3: DFT total energy -0.3291 Ry/atom.